VASP calculation (PBE) on a geometry-optimized CaYN2O structure.

abc: 4.1558 4.1558 4.2468
angles: 90.00 90.00 90.00
With the nearest neighbours (Å) after each atom.
Space group P4/mmm (No. 123)
Symmetry-distinct sites (fractional):
Ca 0.0000 0.0000 0.0000 [1 per cell]  4 N 2.08, 2 O 2.12
Y 0.5000 0.5000 0.5000 [1 per cell]  4 O 2.94, 8 N 2.97
N 0.0000 0.5000 0.0000 [2 per cell]  2 Ca 2.08
O 0.0000 0.0000 0.5000 [1 per cell]  2 Ca 2.12

## Properties
E (eV for the cell shown): -30.3
Formation energy without anion corrections (eV/atom): -0.05
Magnetic moment (μB per atom): 0.0916